1.
A relaxed PmTl2ReO8 crystal. Source: Alexandria, functional PBE.

Geometry as CIF:
```
data_PmTl2ReO8
_space_group_name_H-M_alt 'P 1'
_space_group_IT_number 1
_cell_length_a 5.128
_cell_length_b 6.787
_cell_length_c 5.139
_cell_angle_alpha 90.00
_cell_angle_beta 91.65
_cell_angle_gamma 90.00
loop_
_space_group_symop_operation_xyz
'x,y,z'
loop_
_atom_site_label
_atom_site_type_symbol
_atom_site_fract_x
_atom_site_fract_y
_atom_site_fract_z
Pm1 Pm 0.000 0.000 0.000
Tl1 Tl 0.500 0.253 0.500
Tl2 Tl 0.500 0.747 0.500
Re1 Re 0.000 0.500 0.000
O1 O 0.177 0.298 0.826
O2 O 0.177 0.702 0.826
O3 O 0.274 0.500 0.277
O4 O 0.307 0.000 0.313
O5 O 0.693 0.000 0.687
O6 O 0.726 0.500 0.723
O7 O 0.823 0.298 0.174
O8 O 0.823 0.702 0.174
```

Calculated values
total magnetic moment = 0.000 μB per cell
calculated volume = 14.9 Å³/atom
space-group type = P2/m, No. 10
raw total energy = -6.633 eV per atom


2.
A relaxed CaTb4Pm crystal. Source: Alexandria, functional PBE.

Geometry as CIF:
```
data_CaTb4Pm
_space_group_name_H-M_alt 'P 1'
_space_group_IT_number 1
_cell_length_a 9.001
_cell_length_b 9.001
_cell_length_c 6.318
_cell_angle_alpha 96.69
_cell_angle_beta 96.69
_cell_angle_gamma 23.31
loop_
_space_group_symop_operation_xyz
'x,y,z'
loop_
_atom_site_label
_atom_site_type_symbol
_atom_site_fract_x
_atom_site_fract_y
_atom_site_fract_z
Ca1 Ca 0.000 0.000 0.000
Tb1 Tb 0.168 0.168 0.393
Tb2 Tb 0.328 0.328 0.113
Tb3 Tb 0.672 0.672 0.887
Tb4 Tb 0.832 0.832 0.607
Pm1 Pm 0.500 0.500 0.500
```

Calculated values
excess energy over the best structure of this formula in the dataset = 0 meV per atom
total magnetic moment = 0.000 μB per cell
calculated volume = 33.5 Å³/atom
energy relative to the elements = 0.046 eV per atom
space-group type = C2/m, No. 12
raw total energy = -4.166 eV per atom


3.
A relaxed DyCdAg2 crystal. Source: Alexandria, functional PBE.

Geometry as CIF:
```
data_DyCdAg2
_space_group_name_H-M_alt 'P 1'
_space_group_IT_number 1
_cell_length_a 3.575
_cell_length_b 3.575
_cell_length_c 6.830
_cell_angle_alpha 90.00
_cell_angle_beta 90.00
_cell_angle_gamma 90.00
loop_
_space_group_symop_operation_xyz
'x,y,z'
loop_
_atom_site_label
_atom_site_type_symbol
_atom_site_fract_x
_atom_site_fract_y
_atom_site_fract_z
Dy1 Dy 0.000 0.000 0.000
Cd1 Cd 0.000 0.000 0.500
Ag1 Ag 0.500 0.500 0.263
Ag2 Ag 0.500 0.500 0.737
```

Calculated values
total magnetic moment = 0.000 μB per cell
calculated volume = 21.8 Å³/atom
energy relative to the elements = -0.196 eV per atom
space-group type = P4/mmm, No. 123
raw total energy = -3.001 eV per atom


4.
A relaxed Ca2In5Ir3 crystal. Source: Alexandria, functional PBE.

Geometry as CIF:
```
data_Ca2In5Ir3
_space_group_name_H-M_alt 'P 1'
_space_group_IT_number 1
_cell_length_a 13.487
_cell_length_b 13.487
_cell_length_c 7.382
_cell_angle_alpha 90.00
_cell_angle_beta 90.00
_cell_angle_gamma 160.89
loop_
_space_group_symop_operation_xyz
'x,y,z'
loop_
_atom_site_label
_atom_site_type_symbol
_atom_site_fract_x
_atom_site_fract_y
_atom_site_fract_z
Ca1 Ca 0.025 0.975 0.500
Ca2 Ca 0.326 0.674 0.580
Ca3 Ca 0.674 0.326 0.080
Ca4 Ca 0.975 0.025 0.000
In1 In 0.097 0.903 0.881
In2 In 0.207 0.793 0.379
In3 In 0.210 0.790 0.791
In4 In 0.375 0.625 0.027
In5 In 0.449 0.551 0.669
In6 In 0.551 0.449 0.169
In7 In 0.625 0.375 0.527
In8 In 0.790 0.210 0.291
In9 In 0.793 0.207 0.879
In10 In 0.903 0.097 0.381
Ir1 Ir 0.110 0.890 0.255
Ir2 Ir 0.271 0.729 0.087
Ir3 Ir 0.453 0.547 0.283
Ir4 Ir 0.547 0.453 0.783
Ir5 Ir 0.729 0.271 0.587
Ir6 Ir 0.890 0.110 0.755
```

Calculated values
total magnetic moment = 0.000 μB per cell
calculated volume = 22.0 Å³/atom
energy relative to the elements = -0.350 eV per atom
space-group type = Cmc2_1, No. 36
raw total energy = -4.778 eV per atom